Version one
Tl2AsP after structural relaxation, computed with GGA-PBEsol.

Properties
Space-group type ... R-3m

a b c (Å): 3.1754 3.1754 10.5112
angles (deg): 81.31 81.31 60.00
Atoms (fractional coordinates):
As 0.5000 0.5000 0.5000
P 0.0000 0.0000 0.0000
Tl 0.2530 0.2530 0.2409
Tl 0.7470 0.7470 0.7591



Version two
Tl2AsP after structural relaxation, computed with GGA-PBEsol.

Properties
Space-group type ... Pm

a b c (Å): 3.4462 4.8448 6.2487
angles (deg): 105.59 90.00 90.00
Atoms (fractional coordinates):
P 0.5000 0.3680 0.7536
Tl 0.0000 0.9293 0.9338
Tl 0.5000 0.5586 0.3045
As 0.0000 0.1442 0.5081



Version three
Tl2AsP after structural relaxation, computed with GGA-PBEsol.

Properties
Space-group type ... I-42d

a b c (Å): 6.1099 6.1099 7.4777
angles (deg): 114.11 114.11 90.00
Atoms (fractional coordinates):
P 0.7500 0.2500 0.5000
P 0.5000 0.5000 0.0000
Tl 0.3867 0.8750 0.2500
Tl 0.8633 0.3750 0.2500
Tl 0.1250 0.1367 0.7500
Tl 0.6250 0.6133 0.7500
As 0.2500 0.7500 0.5000
As 0.0000 0.0000 0.0000



Which structure is most stable? version two, by 109 meV per atom over the runner-up.



Version one
TlAsP2 after structural relaxation, computed with GGA-PBEsol.

Properties
Space-group type ... I4/mmm

a b c (Å): 4.7074 4.7074 4.7074
angles (deg): 90.42 119.76 119.76
Atoms (fractional coordinates):
As 0.0000 0.0000 0.0000
P 0.5000 0.2500 0.7500
P 0.5000 0.7500 0.2500
Tl 0.0000 0.5000 0.5000



Version two
TlAsP2 after structural relaxation, computed with GGA-PBEsol.

Properties
Space-group type ... R-3m

a b c (Å): 3.7271 3.7271 6.8113
angles (deg): 74.12 74.12 60.00
Atoms (fractional coordinates):
As 0.0000 0.0000 0.0000
P 0.2609 0.2609 0.2172
P 0.7391 0.7391 0.7828
Tl 0.5000 0.5000 0.5000



Which structure is most stable? version two, by 377 meV per atom over the runner-up.